*one*
# RbBa2Cr (PBE-GGA, relaxed)
data_RbBa2Cr
_chemical_formula_sum 'Rb4 Ba8 Cr4'
_cell_length_a 9.1823
_cell_length_b 9.1823
_cell_length_c 9.1823
_cell_angle_alpha 90.00
_cell_angle_beta 90.00
_cell_angle_gamma 90.00
_symmetry_space_group_name_H-M 'F m -3 m'
_symmetry_Int_Tables_number 225
_symmetry_space_group_name_Hall '-F 4 2 3'
loop_
_atom_site_label
_atom_site_type_symbol
_atom_site_fract_x
_atom_site_fract_y
_atom_site_fract_z
Rb1 Rb 0.0000 0.0000 0.0000
Ba1 Ba 0.2500 0.2500 0.2500
Cr1 Cr 0.0000 0.0000 0.5000
# Magnetization   5.47 μB per formula unit

***

*two*
# RbBa2Cr (PBE-GGA, relaxed)
data_RbBa2Cr
_chemical_formula_sum 'Rb4 Ba8 Cr4'
_cell_length_a 10.5472
_cell_length_b 10.5472
_cell_length_c 8.2770
_cell_angle_alpha 90.00
_cell_angle_beta 90.00
_cell_angle_gamma 90.00
_symmetry_space_group_name_H-M 'I -4 2 d'
_symmetry_Int_Tables_number 122
_symmetry_space_group_name_Hall 'I -4 2bw'
loop_
_atom_site_label
_atom_site_type_symbol
_atom_site_fract_x
_atom_site_fract_y
_atom_site_fract_z
Rb1 Rb 0.0000 0.0000 0.0000
Ba1 Ba 0.1778 0.7500 0.6250
Cr1 Cr 0.0000 0.0000 0.5000
# Magnetization   4.81 μB per formula unit

***

Which one is most stable, and which one is least stable? *one* is the most stable of them, while *two* is the least stable.